Entry 1:
! PBE Cs2CrCuBr6, relaxed; values from VASP
&SYSTEM
  ibrav = 0, nat = 10, ntyp = 4
/
ATOMIC_SPECIES
Cs 132.91 Cs.upf
Cr 52.00 Cr.upf
Cu 63.55 Cu.upf
Br 79.90 Br.upf
ATOMIC_POSITIONS angstrom
Cs 1.5627 0.0000 4.4485
Cs 4.8157 3.8525 2.2242
Cr 0.0000 0.0000 0.0000
Cu 3.1892 0.0000 0.0000
Br 4.8872 0.0000 2.0697
Br 4.8872 -2.0600 5.6378
Br 4.8872 2.0600 5.6378
Br 1.4913 5.9125 1.0349
Br 1.4913 1.7924 1.0349
Br 1.4913 3.8525 4.6029
CELL_PARAMETERS angstrom
6.3785 0.0000 0.0000
0.0000 7.7049 0.0000
0.0000 -3.8525 6.6727
! **Formation energy (no corrections)**: -10.96 eV per formula unit
! **Total energy**: -3.642 eV per atom
! **Calculated volume**: 32.79 A^3/atom

Entry 2:
! PBE CsCrCu2Br8, relaxed; values from VASP
&SYSTEM
  ibrav = 0, nat = 12, ntyp = 4
/
ATOMIC_SPECIES
Cs 132.91 Cs.upf
Cr 52.00 Cr.upf
Cu 63.55 Cu.upf
Br 79.90 Br.upf
ATOMIC_POSITIONS angstrom
Cs 0.0000 0.0000 0.0000
Cr -8.2566 -3.6177 -2.2749
Cu -11.9638 -5.6552 -3.4103
Cu -4.5493 -1.5801 -1.1395
Br -14.0398 -4.5275 -3.4205
Br -2.4733 -2.7079 -1.1293
Br -5.9036 -2.7581 -2.7671
Br -10.3020 -3.9291 -3.7705
Br -10.0349 -3.4073 -0.4553
Br -7.0512 -4.8491 -0.3912
Br -7.4517 -5.6160 -3.6448
Br -8.7960 -1.1464 -2.6204
CELL_PARAMETERS angstrom
-2.0656 -3.8459 -4.7713
-3.0197 -5.5460 1.3949
-11.4278 2.1565 -1.1735
! **Formation energy (no corrections)**: -6.92 eV per formula unit
! **Total energy**: -3.248 eV per atom
! **Calculated volume**: 33.43 A^3/atom